Model P:
Entry from Alexandria: a geometry-optimized PaMnRe structure (PBE-GGA).

Unit cell a=2.9386 b=2.9386 c=11.6959 alpha=90.00 beta=90.00 gamma=90.00
Last column: nearest neighbours and their distance in Å.
Space group I4mm (No. 107)
Inequivalent atoms, fractional coordinates:
1 Pa 0.0000 0.0000 0.0000 (multiplicity 2)  4 Pa 2.94, 4 Mn 3.00, 4 Re 3.13
2 Mn 0.0000 0.0000 0.6848 (multiplicity 2)  4 Re 2.48
3 Re 0.0000 0.0000 0.2999 (multiplicity 2)  4 Mn 2.48



Model Q:
Entry from Alexandria: a geometry-optimized PaMnRe structure (PBE-GGA).

Unit cell a=9.3601 b=3.9595 c=3.0201 alpha=90.00 beta=90.00 gamma=90.00
Last column: nearest neighbours and their distance in Å.
Space group Pmma (No. 51)
Inequivalent atoms, fractional coordinates:
1 Pa 0.0000 0.0000 0.0000 (multiplicity 2)  2 Mn 2.48
2 Mn 0.2500 0.0000 0.2743 (multiplicity 2)  4 Re 2.46-2.52, 2 Pa 2.48
3 Re 0.2500 0.5000 0.7597 (multiplicity 2)  4 Mn 2.46-2.52



Relative to the most stable structure, the computed energies are model P 0; model Q 364, all in meV/atom.



Model P:
Entry from Alexandria: a geometry-optimized PaMnRh2 structure (PBE-GGA).

Unit cell a=6.5555 b=6.5555 c=6.5555 alpha=90.00 beta=90.00 gamma=90.00
Last column: nearest neighbours and their distance in Å.
Space group Fm-3m (No. 225)
Inequivalent atoms, fractional coordinates:
1 Pa 0.0000 0.0000 0.0000 (multiplicity 4)  8 Rh 2.84
2 Mn 0.0000 0.0000 0.5000 (multiplicity 4)  8 Rh 2.84
3 Rh 0.2500 0.2500 0.2500 (multiplicity 8)  4 Pa 2.84, 4 Mn 2.84



Model Q:
Entry from Alexandria: a geometry-optimized PaMnRh2 structure (PBE-GGA).

Unit cell a=4.2062 b=4.2062 c=3.8217 alpha=90.00 beta=90.00 gamma=90.00
Last column: nearest neighbours and their distance in Å.
Space group P4/mmm (No. 123)
Inequivalent atoms, fractional coordinates:
1 Pa 0.0000 0.0000 0.0000 (multiplicity 1)  8 Rh 2.84, 4 Mn 2.97
2 Mn 0.5000 0.5000 0.0000 (multiplicity 1)  8 Rh 2.84, 4 Pa 2.97
3 Rh 0.0000 0.5000 0.5000 (multiplicity 2)  4 Mn 2.84, 4 Pa 2.84, 4 Rh 2.97



Model R:
Entry from Alexandria: a geometry-optimized PaMnRh2 structure (PBE-GGA).

Unit cell a=3.4650 b=3.4650 c=5.8178 alpha=90.00 beta=90.00 gamma=90.00
Last column: nearest neighbours and their distance in Å.
Space group P4/mmm (No. 123)
Inequivalent atoms, fractional coordinates:
1 Pa 0.0000 0.0000 0.0000 (multiplicity 1)  8 Rh 2.87, 2 Mn 2.91
2 Mn 0.0000 0.0000 0.5000 (multiplicity 1)  8 Rh 2.83, 2 Pa 2.91
3 Rh 0.5000 0.5000 0.2558 (multiplicity 2)  4 Mn 2.83, 2 Rh 2.84-2.98, 4 Pa 2.87



Relative to the most stable structure, the computed energies are model P 154; model Q 0; model R 173, all in meV/atom.



Model P:
Entry from Alexandria: a geometry-optimized PaMnS3 structure (PBE-GGA).

Unit cell a=6.8730 b=6.1591 c=8.3262 alpha=90.00 beta=92.46 gamma=90.00
Last column: nearest neighbours and their distance in Å.
Space group P2_1/c (No. 14)
Inequivalent atoms, fractional coordinates:
1 Pa 0.2186 0.1985 0.1508 (multiplicity 4)  5 S 2.59-2.86
2 Mn 0.4106 0.7403 0.0914 (multiplicity 4)  6 S 2.22-2.44
3 S 0.0727 0.7068 0.6234 (multiplicity 4)  1 Mn 2.37
4 S 0.3175 0.0305 0.4303 (multiplicity 4)  2 Mn 2.22-2.29
5 S 0.4013 0.5467 0.3434 (multiplicity 4)  3 Mn 2.34-2.44



Model Q:
Entry from Alexandria: a geometry-optimized PaMnS3 structure (PBE-GGA).

Unit cell a=6.8133 b=6.4786 c=13.3282 alpha=90.00 beta=118.40 gamma=90.00
Last column: nearest neighbours and their distance in Å.
Space group P2_1/c (No. 14)
Inequivalent atoms, fractional coordinates:
1 Pa 0.1962 0.0230 0.1696 (multiplicity 4)  6 S 2.64-2.74
2 Mn 0.2452 0.6021 0.3353 (multiplicity 4)  4 S 2.32-2.41
3 S 0.0917 0.2413 0.8062 (multiplicity 4)  2 Mn 2.40-2.41
4 S 0.1911 0.6773 0.4961 (multiplicity 4)  1 Mn 2.39, 1 Pa 2.64
5 S 0.4751 0.1926 0.6639 (multiplicity 4)  1 Mn 2.32



Relative to the most stable structure, the computed energies are model P 54; model Q 0, all in meV/atom.



Model P:
Entry from Alexandria: a geometry-optimized PaMn2Sb structure (PBE-GGA).

Unit cell a=4.4240 b=4.4240 c=3.4451 alpha=90.00 beta=90.00 gamma=90.00
Last column: nearest neighbours and their distance in Å.
Space group P4/mmm (No. 123)
Inequivalent atoms, fractional coordinates:
1 Pa 0.0000 0.0000 0.0000 (multiplicity 1)  8 Mn 2.80, 4 Sb 3.13
2 Mn 0.0000 0.5000 0.5000 (multiplicity 2)  4 Pa 2.80, 4 Sb 2.80, 4 Mn 3.13
3 Sb 0.5000 0.5000 0.0000 (multiplicity 1)  8 Mn 2.80, 4 Pa 3.13



Model Q:
Entry from Alexandria: a geometry-optimized PaMn2Sb structure (PBE-GGA).

Unit cell a=6.4761 b=6.4761 c=6.4761 alpha=90.00 beta=90.00 gamma=90.00
Last column: nearest neighbours and their distance in Å.
Space group Fm-3m (No. 225)
Inequivalent atoms, fractional coordinates:
1 Pa 0.0000 0.0000 0.0000 (multiplicity 4)  8 Mn 2.80
2 Mn 0.2500 0.2500 0.2500 (multiplicity 8)  4 Pa 2.80, 4 Sb 2.80
3 Sb 0.0000 0.0000 0.5000 (multiplicity 4)  8 Mn 2.80



Relative to the most stable structure, the computed energies are model P 0; model Q 29, all in meV/atom.



Model P:
Entry from Alexandria: a geometry-optimized Pa2MnSi3 structure (PBE-GGA).

Unit cell a=7.8179 b=8.1140 c=13.7784 alpha=90.00 beta=90.00 gamma=90.00
Last column: nearest neighbours and their distance in Å.
Space group Fmmm (No. 69)
Inequivalent atoms, fractional coordinates:
1 Pa 0.2373 0.0000 0.0000 (multiplicity 8)  2 Mn 2.91, 10 Si 3.00-3.12
2 Pa 0.2500 0.2500 0.2500 (multiplicity 8)  8 Si 3.00-3.02, 4 Mn 3.06
3 Mn 0.0000 0.0000 0.1627 (multiplicity 8)  3 Si 2.30-2.31
4 Si 0.0000 0.0000 0.3294 (multiplicity 8)  1 Mn 2.30, 2 Si 2.33
5 Si 0.0000 0.2480 0.4149 (multiplicity 16)  1 Mn 2.31, 2 Si 2.33-2.35



Model Q:
Entry from Alexandria: a geometry-optimized Pa2MnSi3 structure (PBE-GGA).

Unit cell a=3.7724 b=4.1258 c=6.9745 alpha=90.00 beta=90.00 gamma=90.00
Last column: nearest neighbours and their distance in Å.
Space group Pmm2 (No. 25)
Inequivalent atoms, fractional coordinates:
1 Pa 0.0000 0.0000 0.0000 (multiplicity 1)  2 Mn 2.90, 10 Si 3.00-3.10
2 Pa 0.0000 0.5000 0.4730 (multiplicity 1)  8 Si 2.91-3.05, 4 Mn 3.00
3 Mn 0.5000 0.0000 0.3149 (multiplicity 1)  3 Si 2.32-2.35
4 Si 0.5000 0.0000 0.6473 (multiplicity 1)  1 Mn 2.32, 2 Si 2.38
5 Si 0.5000 0.5000 0.1548 (multiplicity 1)  2 Mn 2.35, 1 Si 2.36
6 Si 0.5000 0.5000 0.8162 (multiplicity 1)  3 Si 2.36-2.38



Relative to the most stable structure, the computed energies are model P 0; model Q 11, all in meV/atom.



Model P:
Entry from Alexandria: a geometry-optimized PaMn2Si structure (PBE-GGA).

Unit cell a=5.5204 b=5.8494 c=3.9818 alpha=90.00 beta=90.00 gamma=90.00
Last column: nearest neighbours and their distance in Å.
Space group Cmmm (No. 65)
Inequivalent atoms, fractional coordinates:
1 Pa 0.0000 0.0000 0.0000 (multiplicity 2)  4 Mn 2.65, 4 Si 2.76-2.92
2 Mn 0.0000 0.2982 0.5000 (multiplicity 4)  2 Si 2.31, 1 Mn 2.36
3 Si 0.0000 0.5000 0.0000 (multiplicity 2)  4 Mn 2.31



Model Q:
Entry from Alexandria: a geometry-optimized PaMn2Si structure (PBE-GGA).

Unit cell a=2.9624 b=2.9624 c=6.7452 alpha=90.00 beta=90.00 gamma=90.00
Last column: nearest neighbours and their distance in Å.
Space group P4/mmm (No. 123)
Inequivalent atoms, fractional coordinates:
1 Pa 0.0000 0.0000 0.0000 (multiplicity 1)  4 Pa 2.96, 8 Mn 2.98
2 Mn 0.5000 0.5000 0.3140 (multiplicity 2)  4 Si 2.44, 1 Mn 2.51
3 Si 0.0000 0.0000 0.5000 (multiplicity 1)  8 Mn 2.44



Model R:
Entry from Alexandria: a geometry-optimized PaMn2Si structure (PBE-GGA).

Unit cell a=6.1825 b=6.1825 c=6.1825 alpha=90.00 beta=90.00 gamma=90.00
Last column: nearest neighbours and their distance in Å.
Space group Fm-3m (No. 225)
Inequivalent atoms, fractional coordinates:
1 Pa 0.0000 0.0000 0.0000 (multiplicity 4)  8 Mn 2.68
2 Mn 0.2500 0.2500 0.2500 (multiplicity 8)  4 Pa 2.68, 4 Si 2.68
3 Si 0.0000 0.0000 0.5000 (multiplicity 4)  8 Mn 2.68



Model S:
Entry from Alexandria: a geometry-optimized PaMn2Si structure (PBE-GGA).

Unit cell a=4.1755 b=4.1755 c=3.3575 alpha=90.00 beta=90.00 gamma=90.00
Last column: nearest neighbours and their distance in Å.
Space group P4/mmm (No. 123)
Inequivalent atoms, fractional coordinates:
1 Pa 0.0000 0.0000 0.0000 (multiplicity 1)  8 Mn 2.68, 4 Si 2.95
2 Mn 0.0000 0.5000 0.5000 (multiplicity 2)  4 Pa 2.68, 4 Si 2.68, 4 Mn 2.95
3 Si 0.5000 0.5000 0.0000 (multiplicity 1)  8 Mn 2.68, 4 Pa 2.95



Relative to the most stable structure, the computed energies are model P 263; model Q 104; model R 26; model S 0, all in meV/atom.



Model P:
Entry from Alexandria: a geometry-optimized PaMn2Sn structure (PBE-GGA).

Unit cell a=4.4569 b=4.4569 c=3.4083 alpha=90.00 beta=90.00 gamma=90.00
Last column: nearest neighbours and their distance in Å.
Space group P4/mmm (No. 123)
Inequivalent atoms, fractional coordinates:
1 Pa 0.0000 0.0000 0.0000 (multiplicity 1)  8 Mn 2.81
2 Mn 0.0000 0.5000 0.5000 (multiplicity 2)  4 Sn 2.81, 4 Pa 2.81
3 Sn 0.5000 0.5000 0.0000 (multiplicity 1)  8 Mn 2.81



Model Q:
Entry from Alexandria: a geometry-optimized PaMn2Sn structure (PBE-GGA).

Unit cell a=6.4816 b=6.4816 c=6.4816 alpha=90.00 beta=90.00 gamma=90.00
Last column: nearest neighbours and their distance in Å.
Space group Fm-3m (No. 225)
Inequivalent atoms, fractional coordinates:
1 Pa 0.0000 0.0000 0.0000 (multiplicity 4)  8 Mn 2.81
2 Mn 0.2500 0.2500 0.2500 (multiplicity 8)  4 Sn 2.81, 4 Pa 2.81
3 Sn 0.0000 0.0000 0.5000 (multiplicity 4)  8 Mn 2.81



Relative to the most stable structure, the computed energies are model P 0; model Q 17, all in meV/atom.



Model P:
Entry from Alexandria: a geometry-optimized PaMnSn2 structure (PBE-GGA).

Unit cell a=3.3888 b=3.3888 c=7.4581 alpha=90.00 beta=90.00 gamma=90.00
Last column: nearest neighbours and their distance in Å.
Space group P4/mmm (No. 123)
Inequivalent atoms, fractional coordinates:
1 Pa 0.0000 0.0000 0.0000 (multiplicity 1)  8 Sn 3.24, 4 Pa 3.39
2 Mn 0.0000 0.0000 0.5000 (multiplicity 1)  8 Sn 2.85
3 Sn 0.5000 0.5000 0.2929 (multiplicity 2)  4 Mn 2.85, 1 Sn 3.09



Model Q:
Entry from Alexandria: a geometry-optimized PaMnSn2 structure (PBE-GGA).

Unit cell a=4.5674 b=4.5674 c=4.4086 alpha=90.00 beta=90.00 gamma=90.00
Last column: nearest neighbours and their distance in Å.
Space group P4/mmm (No. 123)
Inequivalent atoms, fractional coordinates:
1 Pa 0.0000 0.0000 0.0000 (multiplicity 1)  8 Sn 3.17, 4 Mn 3.23
2 Mn 0.5000 0.5000 0.0000 (multiplicity 1)  8 Sn 3.17, 4 Pa 3.23
3 Sn 0.0000 0.5000 0.5000 (multiplicity 2)  4 Mn 3.17, 4 Pa 3.17, 4 Sn 3.23



Relative to the most stable structure, the computed energies are model P 121; model Q 0, all in meV/atom.



Model P:
Entry from Alexandria: a geometry-optimized PaTaMn structure (PBE-GGA).

Unit cell a=3.0749 b=3.0749 c=11.5873 alpha=90.00 beta=90.00 gamma=90.00
Last column: nearest neighbours and their distance in Å.
Space group I4mm (No. 107)
Inequivalent atoms, fractional coordinates:
1 Pa 0.0000 0.0000 0.0000 (multiplicity 2)  4 Mn 2.91, 4 Pa 3.07
2 Ta 0.0000 0.0000 0.2869 (multiplicity 2)  4 Mn 2.58
3 Mn 0.0000 0.0000 0.6676 (multiplicity 2)  4 Ta 2.58



Model Q:
Entry from Alexandria: a geometry-optimized PaTaMn structure (PBE-GGA).

Unit cell a=3.7535 b=3.7535 c=7.8307 alpha=90.00 beta=90.00 gamma=90.00
Last column: nearest neighbours and their distance in Å.
Space group P4/nmm (No. 129, origin choice 2)
Inequivalent atoms, fractional coordinates:
1 Pa 0.2500 0.2500 0.1571 (multiplicity 2)  5 Mn 2.70-2.95
2 Ta 0.2500 0.7500 0.5000 (multiplicity 2)  4 Ta 2.65, 4 Mn 2.89
3 Mn 0.2500 0.2500 0.7800 (multiplicity 2)  5 Pa 2.70-2.95, 4 Ta 2.89



Relative to the most stable structure, the computed energies are model P 11; model Q 0, all in meV/atom.



Model P:
Entry from Alexandria: a geometry-optimized TbPaMn structure (PBE-GGA).

Unit cell a=4.2511 b=4.2511 c=15.0423 alpha=90.00 beta=90.00 gamma=90.00
Last column: nearest neighbours and their distance in Å.
Space group I4/mmm (No. 139)
Inequivalent atoms, fractional coordinates:
1 Tb 0.0000 0.0000 0.1685 (multiplicity 4)  5 Pa 3.17-3.45, 4 Mn 3.31
2 Pa 0.0000 0.0000 0.3979 (multiplicity 4)  4 Mn 2.62
3 Mn 0.0000 0.5000 0.0000 (multiplicity 4)  4 Pa 2.62



Model Q:
Entry from Alexandria: a geometry-optimized TbPaMn structure (PBE-GGA).

Unit cell a=3.3653 b=3.3653 c=11.3256 alpha=90.00 beta=90.00 gamma=90.00
Last column: nearest neighbours and their distance in Å.
Space group I4mm (No. 107)
Inequivalent atoms, fractional coordinates:
1 Tb 0.0000 0.0000 0.0000 (multiplicity 2)  5 Mn 3.23-3.48, 5 Pa 3.31-3.35, 4 Tb 3.37
2 Pa 0.0000 0.0000 0.2924 (multiplicity 2)  4 Mn 2.63
3 Mn 0.0000 0.0000 0.6928 (multiplicity 2)  4 Pa 2.63



Relative to the most stable structure, the computed energies are model P 181; model Q 0, all in meV/atom.



Model P:
Entry from Alexandria: a geometry-optimized PaMnTc2 structure (PBE-GGA).

Unit cell a=6.4821 b=6.4821 c=6.4821 alpha=90.00 beta=90.00 gamma=90.00
Last column: nearest neighbours and their distance in Å.
Space group Fm-3m (No. 225)
Inequivalent atoms, fractional coordinates:
1 Pa 0.0000 0.0000 0.0000 (multiplicity 4)  8 Tc 2.81
2 Mn 0.0000 0.0000 0.5000 (multiplicity 4)  8 Tc 2.81
3 Tc 0.2500 0.2500 0.2500 (multiplicity 8)  4 Mn 2.81, 4 Pa 2.81



Model Q:
Entry from Alexandria: a geometry-optimized PaMnTc2 structure (PBE-GGA).

Unit cell a=2.8605 b=2.8605 c=27.7501 alpha=90.00 beta=90.00 gamma=120.00
Last column: nearest neighbours and their distance in Å.
Space group R-3m (No. 166, hexagonal axes)
Inequivalent atoms, fractional coordinates:
1 Pa 0.0000 0.0000 0.0000 (multiplicity 3)  6 Pa 2.86, 6 Tc 3.14
2 Mn 0.0000 0.0000 0.5000 (multiplicity 3)  6 Tc 2.56, 6 Mn 2.86
3 Tc 0.0000 0.0000 0.2369 (multiplicity 6)  3 Mn 2.56, 6 Tc 2.86



Relative to the most stable structure, the computed energies are model P 0; model Q 329, all in meV/atom.



Model P:
Entry from Alexandria: a geometry-optimized PaMnTc2 structure (PBE-GGA).

Unit cell a=4.4937 b=4.4937 c=3.3936 alpha=90.00 beta=90.00 gamma=90.00
Last column: nearest neighbours and their distance in Å.
Space group P4/mmm (No. 123)
Inequivalent atoms, fractional coordinates:
1 Pa 0.0000 0.0000 0.0000 (multiplicity 1)  8 Tc 2.82
2 Mn 0.5000 0.5000 0.0000 (multiplicity 1)  8 Tc 2.82
3 Tc 0.0000 0.5000 0.5000 (multiplicity 2)  4 Mn 2.82, 4 Pa 2.82



Model Q:
Entry from Alexandria: a geometry-optimized PaMnTc2 structure (PBE-GGA).

Unit cell a=3.3498 b=3.3498 c=6.0753 alpha=90.00 beta=90.00 gamma=90.00
Last column: nearest neighbours and their distance in Å.
Space group P4/mmm (No. 123)
Inequivalent atoms, fractional coordinates:
1 Pa 0.0000 0.0000 0.0000 (multiplicity 1)  8 Tc 2.84, 2 Mn 3.04
2 Mn 0.0000 0.0000 0.5000 (multiplicity 1)  8 Tc 2.79, 2 Pa 3.04
3 Tc 0.5000 0.5000 0.2565 (multiplicity 2)  4 Mn 2.79, 4 Pa 2.84, 2 Tc 2.96-3.12



Relative to the most stable structure, the computed energies are model P 0; model Q 164, all in meV/atom.